VASP calculation (GGA-PBE) on a relaxed structure of YUOs.

a b c (Å): 3.5085 3.5085 10.8451
angles (deg): 90.00 90.00 90.00
Space group I4mm (No. 107)
Symmetry-distinct sites (fractional):
Y: 0.0000 0.0000 0.0000 [2 per cell]
U: 0.0000 0.0000 0.7022 [2 per cell]
Os: 0.0000 0.0000 0.3070 [2 per cell]

Summary:
E   -9.658 eV/atom
Excess energy over the best structure of this formula in the dataset   0.0000 eV per atom